Here is DyNiIr after structural relaxation from Alexandria via LeMat-Bulk. Energies are from PBE-GGA.

a b c (Å): 4.124 4.124 3.788
angles (deg): 90.00 90.00 120.00
Sites, in units of the cell vectors:
Dy1 0.000 0.000 0.000
Ni1 0.333 0.667 0.500
Ir1 0.667 0.333 0.500

Properties
raw total energy = -6.976 eV/atom
energy of formation = -0.561 eV/atom
Fermi-level density of states = 0.520 states/eV per atom


Here is Dy3Ni3Ir after structural relaxation from Alexandria via LeMat-Bulk. Energies are from PBE-GGA.

a b c (Å): 5.299 5.299 12.699
angles (deg): 90.00 90.00 132.55
Sites, in units of the cell vectors:
Dy1 0.008 0.992 0.750
Dy2 0.282 0.718 0.101
Dy3 0.282 0.718 0.399
Dy4 0.718 0.282 0.601
Dy5 0.718 0.282 0.899
Dy6 0.992 0.008 0.250
Ni1 0.300 0.700 0.750
Ni2 0.429 0.571 0.588
Ni3 0.429 0.571 0.912
Ni4 0.571 0.429 0.088
Ni5 0.571 0.429 0.412
Ni6 0.700 0.300 0.250
Ir1 0.000 0.000 0.000
Ir2 0.000 0.000 0.500

Properties
raw total energy = -6.238 eV/atom
energy of formation = -0.522 eV/atom
Fermi-level density of states = 0.758 states/eV per atom


Here is Dy3NiIr after structural relaxation from Alexandria via LeMat-Bulk. Energies are from PBE-GGA.

a b c (Å): 4.009 9.006 6.372
angles (deg): 90.00 90.00 90.00
Sites, in units of the cell vectors:
Dy1 0.250 0.058 0.230
Dy2 0.250 0.250 0.718
Dy3 0.250 0.442 0.230
Dy4 0.750 0.558 0.770
Dy5 0.750 0.750 0.282
Dy6 0.750 0.942 0.770
Ni1 0.250 0.750 0.573
Ni2 0.750 0.250 0.427
Ir1 0.250 0.750 0.976
Ir2 0.750 0.250 0.024

Properties
raw total energy = -6.217 eV/atom
energy of formation = -0.527 eV/atom
Fermi-level density of states = 0.944 states/eV per atom


Here is Dy8Ni2Ir after structural relaxation from Alexandria via LeMat-Bulk. Energies are from PBE-GGA.

a b c (Å): 7.460 7.460 5.973
angles (deg): 100.17 100.17 113.61
Sites, in units of the cell vectors:
Dy1 0.000 0.000 0.000
Dy2 0.021 0.280 0.570
Dy3 0.146 0.571 0.177
Dy4 0.280 0.021 0.570
Dy5 0.439 0.700 0.768
Dy6 0.571 0.146 0.177
Dy7 0.700 0.439 0.768
Dy8 0.718 0.718 0.358
Ni1 0.053 0.670 0.679
Ni2 0.670 0.053 0.679
Ir1 0.359 0.359 0.344

Properties
raw total energy = -5.446 eV/atom
energy of formation = -0.243 eV/atom
energy above the most stable polymorph in this dataset = 92 meV per atom
Fermi-level density of states = 1.128 states/eV per atom


Here is Dy4NiIr3 after structural relaxation from Alexandria via LeMat-Bulk. Energies are from PBE-GGA.

a b c (Å): 3.320 4.905 9.803
angles (deg): 90.00 90.00 90.00
Sites, in units of the cell vectors:
Dy1 0.000 0.000 0.000
Dy2 0.000 0.000 0.500
Dy3 0.000 0.500 0.249
Dy4 0.000 0.500 0.751
Ni1 0.500 0.500 0.000
Ir1 0.500 0.000 0.248
Ir2 0.500 0.000 0.752
Ir3 0.500 0.500 0.500

Properties
raw total energy = -7.072 eV/atom
energy of formation = -0.725 eV/atom
Fermi-level density of states = 0.391 states/eV per atom


Here is DyNi5Ir after structural relaxation from Alexandria via LeMat-Bulk. Energies are from PBE-GGA.

a b c (Å): 7.887 4.857 9.902
angles (deg): 90.00 90.00 90.00
Sites, in units of the cell vectors:
Dy1 0.244 0.250 0.060
Dy2 0.256 0.750 0.560
Dy3 0.744 0.250 0.440
Dy4 0.756 0.750 0.940
Ni1 0.061 0.750 0.092
Ni2 0.068 0.006 0.308
Ni3 0.068 0.494 0.308
Ni4 0.100 0.250 0.521
Ni5 0.181 0.250 0.758
Ni6 0.319 0.750 0.258
Ni7 0.400 0.750 0.021
Ni8 0.432 0.506 0.808
Ni9 0.432 0.994 0.808
Ni10 0.439 0.250 0.592
Ni11 0.561 0.750 0.408
Ni12 0.568 0.006 0.192
Ni13 0.568 0.494 0.192
Ni14 0.600 0.250 0.979
Ni15 0.681 0.250 0.742
Ni16 0.819 0.750 0.242
Ni17 0.900 0.750 0.479
Ni18 0.932 0.506 0.692
Ni19 0.932 0.994 0.692
Ni20 0.939 0.250 0.908
Ir1 0.147 0.750 0.852
Ir2 0.353 0.250 0.352
Ir3 0.647 0.750 0.648
Ir4 0.853 0.250 0.148

Properties
raw total energy = -6.315 eV/atom
energy of formation = -0.262 eV/atom
Fermi-level density of states = 1.369 states/eV per atom


Here is DyNi3Ir after structural relaxation from Alexandria via LeMat-Bulk. Energies are from PBE-GGA.

a b c (Å): 8.465 8.465 4.309
angles (deg): 90.00 90.00 148.34
Sites, in units of the cell vectors:
Dy1 0.086 0.914 0.750
Dy2 0.914 0.086 0.250
Ni1 0.038 0.486 0.250
Ni2 0.486 0.038 0.750
Ni3 0.500 0.500 0.000
Ni4 0.500 0.500 0.500
Ni5 0.514 0.962 0.250
Ni6 0.962 0.514 0.750
Ir1 0.359 0.641 0.750
Ir2 0.641 0.359 0.250

Properties
raw total energy = -6.104 eV/atom
energy of formation = 0.057 eV/atom
Fermi-level density of states = 1.420 states/eV per atom


Here is DyNiIr after structural relaxation from Alexandria via LeMat-Bulk. Energies are from PBE-GGA.

a b c (Å): 5.072 5.391 7.337
angles (deg): 90.00 90.00 90.00
Sites, in units of the cell vectors:
Dy1 0.000 0.250 0.122
Dy2 0.000 0.750 0.878
Dy3 0.500 0.250 0.378
Dy4 0.500 0.750 0.622
Ni1 0.250 0.250 0.750
Ni2 0.250 0.750 0.250
Ni3 0.750 0.250 0.750
Ni4 0.750 0.750 0.250
Ir1 0.000 0.000 0.500
Ir2 0.000 0.500 0.500
Ir3 0.500 0.000 0.000
Ir4 0.500 0.500 0.000

Properties
raw total energy = -7.088 eV/atom
energy of formation = -0.673 eV/atom
Fermi-level density of states = 0.830 states/eV per atom


Please write out number 5 again, unchanged.
Here is Dy4NiIr3 after structural relaxation from Alexandria via LeMat-Bulk. Energies are from PBE-GGA.

a b c (Å): 3.320 4.905 9.803
angles (deg): 90.00 90.00 90.00
Sites, in units of the cell vectors:
Dy1 0.000 0.000 0.000
Dy2 0.000 0.000 0.500
Dy3 0.000 0.500 0.249
Dy4 0.000 0.500 0.751
Ni1 0.500 0.500 0.000
Ir1 0.500 0.000 0.248
Ir2 0.500 0.000 0.752
Ir3 0.500 0.500 0.500

Properties
raw total energy = -7.072 eV/atom
energy of formation = -0.725 eV/atom
Fermi-level density of states = 0.391 states/eV per atom